Entry 1:
# PRu3

An optimized crystal structure of PRu3 (PBE, Alexandria via LeMat-Bulk).

Summary:
The final energy is -65.54 eV per cell. The crystal system is orthorhombic.

a b c (Å): 5.5850 5.5850 4.1038
angles (deg): 90.00 90.00 121.92
Sites, in units of the cell vectors:
1 P 0.6402 0.3598 0.2500
2 P 0.3598 0.6402 0.7500
3 Ru 0.1814 0.8186 0.2500
4 Ru 0.8186 0.1814 0.7500
5 Ru 0.6650 0.8327 0.2500
6 Ru 0.3350 0.1673 0.7500
7 Ru 0.8327 0.6650 0.7500
8 Ru 0.1673 0.3350 0.2500

=====

Entry 2:
# YTaPb2

An optimized crystal structure of YTaPb2 (PBE, Alexandria via LeMat-Bulk).

Summary:
The final energy is -24.72 eV per cell. The crystal system is orthorhombic.

a b c (Å): 3.4703 5.6965 5.1154
angles (deg): 90.00 90.00 90.00
Sites, in units of the cell vectors:
1 Pb 0.0000 0.0000 0.0000
2 Pb 0.5000 0.5000 0.0000
3 Ta 0.5000 0.0000 0.5000
4 Y 0.0000 0.5000 0.5000

=====

Entry 3:
# CrSb2PdI

An optimized crystal structure of CrSb2PdI (PBE, Alexandria via LeMat-Bulk).

Summary:
As for the uncorrected formation energy: 634 meV per atom. The crystal system is tetragonal.

a b c (Å): 5.0347 5.0347 5.4255
angles (deg): 90.00 90.00 90.00
Each line ends with the local moment (μB).
Sites, in units of the cell vectors:
1 I 0.0000 0.0000 0.5000  0.04
2 Sb 0.0000 0.5000 0.0000  -0.10
3 Sb 0.5000 0.0000 0.0000  -0.10
4 Pd 0.5000 0.5000 0.5000  0.02
5 Cr 0.0000 0.0000 0.0000  2.42

=====

Entry 4:
# InNi2Au2

An optimized crystal structure of InNi2Au2 (PBE, Alexandria via LeMat-Bulk).

Summary:
The final energy is -42.20 eV per cell. The crystal system is orthorhombic.

a b c (Å): 4.4586 5.7155 7.3517
angles (deg): 112.87 107.65 90.00
Sites, in units of the cell vectors:
1 In 0.3645 0.1145 0.2289
2 In 0.6355 0.8855 0.7711
3 Ni 0.8186 0.3111 0.1373
4 Ni 0.8187 0.8262 0.1373
5 Ni 0.1813 0.1738 0.8627
6 Ni 0.1814 0.6889 0.8627
7 Au 0.6460 0.3960 0.7919
8 Au 0.9968 0.7468 0.4937
9 Au 0.0032 0.2532 0.5063
10 Au 0.3540 0.6040 0.2081

=====

Entry 5:
# NaTaCd

An optimized crystal structure of NaTaCd (PBE, Alexandria via LeMat-Bulk).

Summary:
The final energy is -24.33 eV per cell. The crystal system is triclinic.

a b c (Å): 4.8916 6.0358 5.3928
angles (deg): 83.20 72.85 66.05
Sites, in units of the cell vectors:
1 Na 0.0000 0.5000 0.5000
2 Na 0.5000 0.5000 0.0000
3 Cd 0.8222 0.8560 0.9997
4 Cd 0.1778 0.1440 0.0003
5 Ta 0.7110 0.0777 0.5003
6 Ta 0.2890 0.9223 0.4997

=====

Entry 6:
# CePrI4

An optimized crystal structure of CePrI4 (PBE, Alexandria via LeMat-Bulk).

Summary:
As for the uncorrected formation energy: -1186 meV per atom. The crystal system is tetragonal.

a b c (Å): 6.3423 6.3423 7.6088
angles (deg): 114.63 114.63 90.00
Each line ends with the local moment (μB).
Sites, in units of the cell vectors:
1 Ce 0.5000 0.5000 0.0000  1.17
2 Pr 0.2500 0.7500 0.5000  0.11
3 I 0.9875 0.4875 0.9750  -0.01
4 I 0.7628 0.7628 0.5255  0.00
5 I 0.5125 0.0125 0.0250  -0.01
6 I 0.2372 0.2372 0.4745  0.00

=====

Entry 7:
# Dy12Fe5C15

An optimized crystal structure of Dy12Fe5C15 (PBE, Alexandria via LeMat-Bulk).

Summary:
The final energy is -246.55 eV per cell. The crystal system is hexagonal.

a b c (Å): 5.0581 10.4252 10.4252
angles (deg): 120.00 90.00 90.00
Each line ends with the local moment (μB).
Sites, in units of the cell vectors:
1 Dy 0.0000 0.1843 0.7299  0.01
2 Dy 0.0000 0.5456 0.8157  0.01
3 Dy 0.0000 0.2701 0.4544  0.01
4 Dy 0.0000 0.7299 0.1843  0.01
5 Dy 0.0000 0.8157 0.5456  0.01
6 Dy 0.0000 0.4544 0.2701  0.01
7 Dy 0.5000 0.5662 0.5662  0.00
8 Dy 0.5000 0.0000 0.4338  0.00
9 Dy 0.5000 0.4338 0.0000  0.00
10 Dy 0.5000 0.2079 0.2079  0.04
11 Dy 0.5000 0.0000 0.7921  0.04
12 Dy 0.5000 0.7921 0.0000  0.04
13 Fe 0.0000 0.8445 0.8445  0.59
14 Fe 0.0000 0.0000 0.1555  0.59
15 Fe 0.0000 0.1555 0.0000  0.59
16 Fe 0.5000 0.3333 0.6667  0.62
17 Fe 0.5000 0.6667 0.3333  0.62
18 C 0.5000 0.1912 0.7157  0.00
19 C 0.5000 0.5245 0.8088  0.00
20 C 0.5000 0.2843 0.4755  0.00
21 C 0.5000 0.7157 0.1912  0.00
22 C 0.5000 0.8088 0.5245  0.00
23 C 0.5000 0.4755 0.2843  0.00
24 C 0.0000 0.6756 0.6756  -0.02
25 C 0.0000 0.0000 0.3244  -0.02
26 C 0.0000 0.3244 0.0000  -0.02
27 C 0.0000 0.5468 0.5468  -0.01
28 C 0.0000 0.0000 0.4532  -0.01
29 C 0.0000 0.4532 0.0000  -0.01
30 C 0.0000 0.1980 0.1980  -0.01
31 C 0.0000 0.0000 0.8020  -0.01
32 C 0.0000 0.8020 0.0000  -0.01

=====

Entry 8:
# ZrSiAs2

An optimized crystal structure of ZrSiAs2 (PBE, Alexandria via LeMat-Bulk).

Summary:
As for the uncorrected formation energy: -163 meV per atom. The crystal system is monoclinic.

a b c (Å): 3.4893 4.6177 5.7442
angles (deg): 52.55 90.00 90.00
Sites, in units of the cell vectors:
1 As 0.0000 0.0000 0.0000
2 As 0.5000 0.5000 0.0000
3 Si 0.5000 0.5000 0.5000
4 Zr 0.0000 0.0000 0.5000

=====

Entry 9:
# NaAc3

An optimized crystal structure of NaAc3 (PBE, Alexandria via LeMat-Bulk).

Summary:
The final energy is -12.89 eV per cell. The crystal system is cubic.

a b c (Å): 5.5780 5.5780 5.5780
angles (deg): 90.00 90.00 90.00
Sites, in units of the cell vectors:
1 Na 0.0000 0.0000 0.0000
2 Ac 0.0000 0.5000 0.5000
3 Ac 0.5000 0.0000 0.5000
4 Ac 0.5000 0.5000 0.0000

=====

Entry 10:
# TlCdRe

An optimized crystal structure of TlCdRe (PBE, Alexandria via LeMat-Bulk).

Summary:
The final energy is -12.84 eV per cell. The crystal system is orthorhombic.

a b c (Å): 5.4033 5.4033 5.4033
angles (deg): 149.37 131.81 58.19
Sites, in units of the cell vectors:
1 Re 0.3419 0.3419 0.0000
2 Tl 0.6718 0.6718 0.0000
3 Cd 0.9863 0.9863 0.0000

=====

Entry 11:
# LiSmScTl

An optimized crystal structure of LiSmScTl (PBE, Alexandria via LeMat-Bulk).

Summary:
The final energy is -16.03 eV per cell. The crystal system is cubic.

a b c (Å): 5.1983 5.1983 5.1983
angles (deg): 60.00 60.00 60.00
Sites, in units of the cell vectors:
1 Sc 0.2500 0.2500 0.2500
2 Tl 0.5000 0.5000 0.5000
3 Sm 0.7500 0.7500 0.7500
4 Li 0.0000 0.0000 0.0000

=====

Entry 12:
# LaSm2DyBi4

An optimized crystal structure of LaSm2DyBi4 (PBE, Alexandria via LeMat-Bulk).

Summary:
The final energy is -41.97 eV per cell. The crystal system is monoclinic.

a b c (Å): 4.5819 7.9297 7.9211
angles (deg): 70.53 90.00 90.00
Sites, in units of the cell vectors:
1 La 0.5000 0.5000 0.0000
2 Sm 0.0000 0.0000 0.0000
3 Sm 0.5000 0.0000 0.5000
4 Dy 0.0000 0.5000 0.5000
5 Bi 0.0000 0.7531 0.7432
6 Bi 0.0000 0.2469 0.2568
7 Bi 0.5000 0.7488 0.2561
8 Bi 0.5000 0.2512 0.7439

=====

Entry 13:
# NdSm3Y7

An optimized crystal structure of NdSm3Y7 (PBE, Alexandria via LeMat-Bulk).

Summary:
The final energy is -62.63 eV per cell. The crystal system is monoclinic.

a b c (Å): 5.5833 10.1164 8.9304
angles (deg): 105.34 128.68 90.01
Sites, in units of the cell vectors:
1 Nd 0.5000 0.5000 0.5000
2 Sm 0.2813 0.9989 0.7817
3 Sm 0.0000 0.5000 0.0000
4 Sm 0.7187 0.0011 0.2183
5 Y 0.9180 0.8299 0.9180
6 Y 0.8550 0.7127 0.3551
7 Y 0.6802 0.3621 0.1802
8 Y 0.3198 0.6379 0.8198
9 Y 0.5000 0.0000 0.5000
10 Y 0.1450 0.2873 0.6449
11 Y 0.0820 0.1701 0.0820

=====

Entry 14:
# AlTc2Ag

An optimized crystal structure of AlTc2Ag (PBE, Alexandria via LeMat-Bulk).

Summary:
The final energy is -26.35 eV per cell. The crystal system is orthorhombic.

a b c (Å): 4.9333 4.9333 2.7943
angles (deg): 90.00 90.00 116.08
Sites, in units of the cell vectors:
1 Tc 0.0000 0.0000 0.0000
2 Tc 0.5000 0.5000 0.0000
3 Ag 0.5000 0.0000 0.5000
4 Al 0.0000 0.5000 0.5000

=====

Entry 15:
# Na2ZrScO4

An optimized crystal structure of Na2ZrScO4 (PBE, Alexandria via LeMat-Bulk).

Summary:
As for the uncorrected formation energy: -2612 meV per atom. The crystal system is monoclinic.

a b c (Å): 3.1739 5.8779 5.5716
angles (deg): 72.06 90.00 90.00
Sites, in units of the cell vectors:
1 Na 0.0000 0.0000 0.0000
2 Na 0.5000 0.0000 0.5000
3 Zr 0.0000 0.5000 0.5000
4 Sc 0.5000 0.5000 0.0000
5 O 0.0000 0.7067 0.7631
6 O 0.0000 0.2933 0.2369
7 O 0.5000 0.7197 0.2534
8 O 0.5000 0.2803 0.7466

=====

Entry 16:
# CrNi2Sb

An optimized crystal structure of CrNi2Sb (PBE, Alexandria via LeMat-Bulk).

Summary:
As for the uncorrected formation energy: 356 meV per atom. The crystal system is tetragonal.

a b c (Å): 3.7938 3.7938 9.0472
angles (deg): 77.90 77.90 90.00
Each line ends with the local moment (μB).
Sites, in units of the cell vectors:
1 Sb 0.0000 0.0000 0.0000  -0.08
2 Sb 0.7500 0.2500 0.5000  -0.08
3 Cr 0.5000 0.5000 0.0000  2.75
4 Cr 0.2500 0.7500 0.5000  2.74
5 Ni 0.6110 0.1250 0.2500  0.14
6 Ni 0.1390 0.6250 0.2500  0.14
7 Ni 0.3750 0.3890 0.7500  0.17
8 Ni 0.8750 0.8610 0.7500  0.17

=====

Entry 17:
# Ca2Be

An optimized crystal structure of Ca2Be (PBE, Alexandria via LeMat-Bulk).

Summary:
The final energy is -13.25 eV per cell. The crystal system is hexagonal.

a b c (Å): 5.2829 5.2829 6.8478
angles (deg): 90.00 90.00 120.00
Sites, in units of the cell vectors:
1 Ca 0.0000 0.0000 0.0000
2 Ca 0.0000 0.0000 0.5000
3 Ca 0.3333 0.6667 0.2500
4 Ca 0.6667 0.3333 0.7500
5 Be 0.6667 0.3333 0.2500
6 Be 0.3333 0.6667 0.7500

=====

Entry 18:
# RbBaCd2Rh

An optimized crystal structure of RbBaCd2Rh (PBE, Alexandria via LeMat-Bulk).

Summary:
The final energy is -12.59 eV per cell. The crystal system is tetragonal.

a b c (Å): 5.5096 5.5096 5.6556
angles (deg): 90.00 90.00 90.00
Sites, in units of the cell vectors:
1 Rh 0.0000 0.0000 0.0000
2 Ba 0.0000 0.0000 0.5000
3 Rb 0.5000 0.5000 0.5000
4 Cd 0.0000 0.5000 0.0000
5 Cd 0.5000 0.0000 0.0000

=====

Entry 19:
# CeAl4Tl

An optimized crystal structure of CeAl4Tl (PBE, Alexandria via LeMat-Bulk).

Summary:
The final energy is -23.85 eV per cell. The crystal system is cubic.

a b c (Å): 5.6546 5.6546 5.6546
angles (deg): 60.00 60.00 60.00
Each line ends with the local moment (μB).
Sites, in units of the cell vectors:
1 Tl 0.2500 0.2500 0.2500  0.00
2 Al 0.6253 0.6253 0.1242  0.01
3 Al 0.6253 0.1242 0.6253  0.01
4 Al 0.6253 0.6253 0.6253  0.01
5 Al 0.1242 0.6253 0.6253  0.01
6 Ce 0.0000 0.0000 0.0000  0.72

=====

Entry 20:
# Ta2AgRu

An optimized crystal structure of Ta2AgRu (PBE, Alexandria via LeMat-Bulk).

Summary:
The final energy is -35.01 eV per cell. The crystal system is tetragonal.

a b c (Å): 5.1165 5.1165 5.1165
angles (deg): 134.40 134.40 66.46
Sites, in units of the cell vectors:
1 Ag 0.5000 0.5000 0.0000
2 Ru 0.7500 0.2500 0.5000
3 Ta 0.0000 0.0000 0.0000
4 Ta 0.2500 0.7500 0.5000

=====

| no. | total moment (μB per cell) |
| --- | --- |
| 1 | 0.00 |
| 2 | 0.00 |
| 3 | 2.38 |
| 4 | 0.00 |
| 5 | 0.00 |
| 6 | 1.62 |
| 7 | 3.08 |
| 8 | 0.00 |
| 9 | 0.00 |
| 10 | 0.00 |
| 11 | 0.00 |
| 12 | 0.00 |
| 13 | 0.00 |
| 14 | 0.00 |
| 15 | 0.00 |
| 16 | 6.21 |
| 17 | 0.00 |
| 18 | 0.00 |
| 19 | 1.15 |
| 20 | 0.00 |